No. 1
Entry from the Alexandria database: SiTcAg2 after structural relaxation (PBE).

Output
E_tot ... -5.25 eV/atom
Crystal system ... orthorhombic
M_tot ... 0.00 μB per cell
Symmetry ... No. 38
Volume ... 16.27 A^3/atom

Cell lengths 3.7353, 6.1734, 6.1734 Å; angles 27.20, 90.00, 90.00 degrees
With the nearest neighbours (Å) after each atom.
Fractional positions:
Si: 0.0000 0.0000 0.0000  4 Tc 2.47, 3 Ag 2.58-2.65
Tc: 0.5000 0.5592 0.5592  4 Si 2.47
Ag: 0.0000 0.2148 0.2148  1 Si 2.58, 4 Ag 2.83
Ag: 0.5000 0.8437 0.8437  2 Si 2.65, 6 Ag 2.83-2.90


No. 2
Entry from the Alexandria database: Tm2Sc3Cu4 after structural relaxation (PBE).

Output
Crystal system ... monoclinic
M_tot ... 0.00 μB per cell
Symmetry ... No. 14
Formation energy ... -0.214 eV/atom
Volume ... 19.91 A^3/atom

Cell lengths 8.1015, 6.8882, 6.8109 Å; angles 90.00, 109.47, 90.00 degrees
With the nearest neighbours (Å) after each atom.
Fractional positions:
Tm: 0.1903 0.1754 0.0564  6 Cu 2.86-3.12
Tm: 0.1903 0.3246 0.5564  6 Cu 2.86-3.12
Tm: 0.8097 0.6754 0.4436  6 Cu 2.86-3.12
Tm: 0.8097 0.8246 0.9436  6 Cu 2.86-3.12
Sc: 0.2384 0.6755 0.2256  6 Cu 2.67-2.88
Sc: 0.2384 0.8245 0.7256  6 Cu 2.67-2.88
Sc: 0.5000 0.0000 0.5000  4 Cu 2.70-2.72
Sc: 0.5000 0.5000 0.0000  4 Cu 2.70-2.72
Sc: 0.7616 0.1755 0.2744  6 Cu 2.67-2.88
Sc: 0.7616 0.3245 0.7744  6 Cu 2.67-2.88
Cu: 0.0654 0.5344 0.8484  1 Cu 2.66, 3 Sc 2.67-2.75, 2 Tm 2.86-2.90
Cu: 0.0654 0.9656 0.3484  1 Cu 2.66, 3 Sc 2.67-2.75, 2 Tm 2.86-2.90
Cu: 0.4939 0.1266 0.8754  1 Cu 2.41
Cu: 0.4939 0.3734 0.3754  1 Cu 2.41
Cu: 0.5061 0.6266 0.6246  1 Cu 2.41
Cu: 0.5061 0.8734 0.1246  1 Cu 2.41
Cu: 0.9346 0.0344 0.6516  1 Cu 2.66, 3 Sc 2.67-2.75, 2 Tm 2.86-2.90
Cu: 0.9346 0.4656 0.1516  1 Cu 2.66, 3 Sc 2.67-2.75, 2 Tm 2.86-2.90


No. 3
Entry from the Alexandria database: Ba2PmRuO6 after structural relaxation (PBE).

Output
E_tot ... -7.12 eV/atom
Crystal system ... cubic
M_tot ... 3.00 μB per cell
Symmetry ... No. 225
Volume ... 15.70 A^3/atom

Cell lengths 6.0555, 6.0555, 6.0555 Å; angles 60.00, 60.00, 60.00 degrees
With the nearest neighbours (Å) after each atom.
Fractional positions:
Ba: 0.2500 0.2500 0.2500  12 O 3.03
Ba: 0.7500 0.7500 0.7500  12 O 3.03
Pm: 0.0000 0.0000 0.0000  6 O 2.30
Ru: 0.5000 0.5000 0.5000  6 O 1.98
O: 0.2685 0.2685 0.7315  1 Ru 1.98
O: 0.2685 0.7315 0.2685  1 Ru 1.98
O: 0.2685 0.7315 0.7315  1 Ru 1.98
O: 0.7315 0.2685 0.2685  1 Ru 1.98
O: 0.7315 0.2685 0.7315  1 Ru 1.98
O: 0.7315 0.7315 0.2685  1 Ru 1.98


No. 4
Entry from the Alexandria database: Rb2Tl4Hg3Pb after structural relaxation (PBE).

Output
Crystal system ... tetragonal
M_tot ... 0.00 μB per cell
Symmetry ... No. 115
Formation energy ... -0.113 eV/atom
Volume ... 36.01 A^3/atom

Cell lengths 5.3215, 5.3215, 12.7153 Å; angles 90.00, 90.00, 90.00 degrees
With the nearest neighbours (Å) after each atom.
Fractional positions:
Rb: 0.0000 0.5000 0.2490  8 Tl 4.04-4.15, 6 Hg 4.07-4.14, 2 Pb 4.14
Rb: 0.5000 0.0000 0.7510  8 Tl 4.04-4.15, 6 Hg 4.07-4.14, 2 Pb 4.14
Tl: 0.0000 0.0000 0.5000  4 Hg 3.13
Tl: 0.0000 0.5000 0.8676  3 Hg 3.02-3.15, 2 Pb 3.15
Tl: 0.5000 0.0000 0.1324  3 Hg 3.02-3.15, 2 Pb 3.15
Tl: 0.5000 0.5000 0.5000  4 Hg 3.13
Hg: 0.0000 0.0000 0.0000  4 Tl 3.15
Hg: 0.0000 0.5000 0.6298  5 Tl 3.02-3.13
Hg: 0.5000 0.0000 0.3702  5 Tl 3.02-3.13
Pb: 0.5000 0.5000 0.0000  4 Tl 3.15


No. 5
Entry from the Alexandria database: LaCeSmSc after structural relaxation (PBE).

Output
Crystal system ... cubic
M_tot ... 2.86 μB per cell
Symmetry ... No. 216
Formation energy ... 0.200 eV/atom
Volume ... 31.73 A^3/atom

Cell lengths 5.6407, 5.6407, 5.6407 Å; angles 60.00, 60.00, 60.00 degrees
With the nearest neighbours (Å) after each atom.
Fractional positions:
La: 0.0000 0.0000 0.0000  4 Ce 3.45, 4 Sc 3.45
Ce: 0.7500 0.7500 0.7500  4 La 3.45, 4 Sm 3.45
Sm: 0.5000 0.5000 0.5000  4 Ce 3.45, 4 Sc 3.45
Sc: 0.2500 0.2500 0.2500  4 Sm 3.45, 4 La 3.45


No. 6
Entry from the Alexandria database: V2InI after structural relaxation (PBE).

Output
Crystal system ... cubic
M_tot ... 0.01 μB per cell
Symmetry ... No. 225
Volume ... 18.35 A^3/atom
Energy above the most stable polymorph in this dataset ... 0 meV per atom

Cell lengths 4.6995, 4.6995, 4.6995 Å; angles 60.00, 60.00, 60.00 degrees
With the nearest neighbours (Å) after each atom.
Fractional positions:
V: 0.2500 0.2500 0.2500  4 In 2.88, 4 I 2.88
V: 0.7500 0.7500 0.7500  4 In 2.88, 4 I 2.88
In: 0.0000 0.0000 0.0000  8 V 2.88
I: 0.5000 0.5000 0.5000  8 V 2.88


No. 7
Entry from the Alexandria database: ThScCu after structural relaxation (PBE).

Output
Crystal system ... trigonal
M_tot ... 0.00 μB per cell
Symmetry ... No. 156
Formation energy ... 0.081 eV/atom
Volume ... 23.68 A^3/atom
Energy above the most stable polymorph in this dataset ... 150 meV per atom

Cell lengths 4.6752, 4.6752, 3.7535 Å; angles 90.00, 90.00, 120.00 degrees
With the nearest neighbours (Å) after each atom.
Fractional positions:
Th: 0.0000 0.0000 0.0000  6 Cu 3.28-3.29, 6 Sc 3.29
Sc: 0.3333 0.6667 0.4999  3 Cu 2.70
Cu: 0.6667 0.3333 0.5017  3 Sc 2.70


No. 8
Entry from the Alexandria database: LiTcNiW after structural relaxation (PBE).

Output
Crystal system ... cubic
M_tot ... 0.00 μB per cell
Symmetry ... No. 216
Formation energy ... 0.124 eV/atom
Volume ... 13.47 A^3/atom

Cell lengths 4.2392, 4.2392, 4.2392 Å; angles 60.00, 60.00, 60.00 degrees
With the nearest neighbours (Å) after each atom.
Fractional positions:
Li: 0.0000 0.0000 0.0000  4 Tc 2.60, 4 Ni 2.60
Tc: 0.2500 0.2500 0.2500  4 W 2.60, 4 Li 2.60
Ni: 0.7500 0.7500 0.7500  4 W 2.60, 4 Li 2.60
W: 0.5000 0.5000 0.5000  4 Tc 2.60, 4 Ni 2.60


No. 9
Entry from the Alexandria database: TiNb after structural relaxation (PBE).

Output
Crystal system ... orthorhombic
M_tot ... 0.00 μB per cell
Symmetry ... No. 59
Formation energy ... 0.060 eV/atom
Volume ... 17.43 A^3/atom

Cell lengths 4.7826, 13.3850, 3.2670 Å; angles 90.00, 90.00, 90.00 degrees
With the nearest neighbours (Å) after each atom.
Fractional positions:
Ti: 0.2500 0.0840 0.0394  8 Nb 2.63-2.93
Ti: 0.2500 0.4160 0.0394  8 Nb 2.63-2.93
Ti: 0.2500 0.7500 0.9205  8 Nb 2.69-2.90
Ti: 0.7500 0.2500 0.0795  8 Nb 2.69-2.90
Ti: 0.7500 0.5840 0.9606  8 Nb 2.63-2.93
Ti: 0.7500 0.9160 0.9606  8 Nb 2.63-2.93
Nb: 0.2500 0.2500 0.5774  8 Ti 2.69-2.90
Nb: 0.2500 0.5829 0.4615  8 Ti 2.63-2.93
Nb: 0.2500 0.9171 0.4615  8 Ti 2.63-2.93
Nb: 0.7500 0.0829 0.5385  8 Ti 2.63-2.93
Nb: 0.7500 0.4171 0.5385  8 Ti 2.63-2.93
Nb: 0.7500 0.7500 0.4226  8 Ti 2.69-2.90


No. 10
Entry from the Alexandria database: CaCd2W after structural relaxation (PBE).

Output
Crystal system ... tetragonal
M_tot ... 4.00 μB per cell
Symmetry ... No. 122
Formation energy ... 1.008 eV/atom
Volume ... 25.37 A^3/atom
Energy above the most stable polymorph in this dataset ... 596 meV per atom

Cell lengths 10.7226, 10.7226, 10.7226 Å; angles 156.05, 156.05, 34.13 degrees
With the nearest neighbours (Å) after each atom.
Fractional positions:
Ca: 0.0000 0.0000 0.0000  4 Cd 3.09, 4 W 3.15
Ca: 0.7500 0.2500 0.5000  4 Cd 3.09, 4 W 3.15
Cd: 0.1714 0.6250 0.0464  2 Cd 2.87, 2 W 2.94, 2 Ca 3.09
Cd: 0.3750 0.4214 0.5464  2 Cd 2.87, 2 W 2.94, 2 Ca 3.09
Cd: 0.5786 0.1250 0.9536  2 Cd 2.87, 2 W 2.94, 2 Ca 3.09
Cd: 0.8750 0.8286 0.4536  2 Cd 2.87, 2 W 2.94, 2 Ca 3.09
W: 0.2500 0.7500 0.5000  4 Cd 2.94, 4 Ca 3.15
W: 0.5000 0.5000 0.0000  4 Cd 2.94, 4 Ca 3.15


No. 11
Entry from the Alexandria database: SrTcAs after structural relaxation (PBE).

Output
Crystal system ... tetragonal
M_tot ... 0.02 μB per cell
Symmetry ... No. 129
Formation energy ... -0.494 eV/atom
Volume ... 25.76 A^3/atom
Energy above the most stable polymorph in this dataset ... 0 meV per atom

Cell lengths 4.0873, 4.0873, 9.2504 Å; angles 90.00, 90.00, 90.00 degrees
With the nearest neighbours (Å) after each atom.
Fractional positions:
Sr: 0.2500 0.2500 0.1921  4 As 3.20, 4 Tc 3.51
Sr: 0.7500 0.7500 0.8079  4 As 3.20, 4 Tc 3.51
Tc: 0.2500 0.7500 0.5000  4 As 2.52
Tc: 0.7500 0.2500 0.5000  4 As 2.52
As: 0.2500 0.2500 0.6589  4 Tc 2.52
As: 0.7500 0.7500 0.3411  4 Tc 2.52


No. 12
Entry from the Alexandria database: Cs3AlCl after structural relaxation (PBE).

Output
Crystal system ... cubic
M_tot ... 2.74 μB per cell
Symmetry ... No. 221
Volume ... 60.01 A^3/atom
Energy above the most stable polymorph in this dataset ... 0 meV per atom

Cell lengths 6.6948, 6.6948, 6.6948 Å; angles 90.00, 90.00, 90.00 degrees
With the nearest neighbours (Å) after each atom.
Fractional positions:
Cs: 0.0000 0.0000 0.5000  2 Cl 3.35
Cs: 0.0000 0.5000 0.0000  2 Cl 3.35
Cs: 0.5000 0.0000 0.0000  2 Cl 3.35
Al: 0.5000 0.5000 0.5000  12 Cs 4.73
Cl: 0.0000 0.0000 0.0000  6 Cs 3.35